DyHoC: relaxed, PBE.

```
DyHoC
1.0
3.5860 0.0000 0.0000
0.0000 6.2021 -0.1737
-1.7930 -0.8790 6.1515
Ho C Dy
2 2 2
direct
0.6091 0.3703 0.2181
0.3909 0.6297 0.7819
0.5000 0.0000 0.0000
0.0000 0.5000 0.0000
0.8898 0.1293 0.7795
0.1102 0.8707 0.2205
```

Calculated values
Energy of formation   -0.2925 eV per atom
Volume   68.1 Å³/f.u.
M_tot   0.8 μB/cell
Mass density   8.273 Mg/m³

=====

DyHoC: relaxed, PBE.

```
DyHoC
1.0
3.5482 0.0000 0.0000
-1.7741 3.0728 0.0000
0.0000 0.0000 24.3839
Dy Ho C
4 4 4
direct
0.3333 0.6667 0.8159
0.6667 0.3333 0.1841
0.6667 0.3333 0.0670
0.3333 0.6667 0.9330
0.3333 0.6667 0.3173
0.6667 0.3333 0.6827
0.3333 0.6667 0.4338
0.6667 0.3333 0.5662
0.3333 0.6667 0.1255
0.6667 0.3333 0.8745
0.3333 0.6667 0.6245
0.6667 0.3333 0.3755
```

Calculated values
Energy of formation   0.0101 eV per atom
Volume   66.5 Å³/f.u.
M_tot   0.0 μB/cell
Mass density   8.481 Mg/m³

=====

Dy2Ho4C: relaxed, PBE.

```
Dy2Ho4C
1.0
-4.6567 -0.0003 1.2470
0.2863 -4.6923 1.0678
0.0316 -0.3271 9.4362
Ho C Dy
4 1 2
direct
0.1345 0.1345 0.7311
0.8655 0.8655 0.2689
0.0000 0.5000 0.0000
0.5000 0.0000 0.0000
0.0000 0.0000 0.0000
0.6728 0.6728 0.6544
0.3272 0.3272 0.3456
```

Calculated values
Energy of formation   0.1310 eV per atom
Volume   204.6 Å³/f.u.
M_tot   0.0 μB/cell
Mass density   8.088 Mg/m³

=====

DyHo3C: relaxed, PBE.

```
DyHo3C
1.0
-3.6097 3.3750 0.9007
-3.4323 -3.6675 -0.0130
0.6489 -0.6248 4.9417
Ho Dy C
3 1 1
direct
0.0000 0.0000 0.5000
0.0000 0.5000 0.0000
0.5000 0.0000 0.0000
0.5000 0.5000 0.5000
0.0000 0.0000 0.0000
```

Calculated values
Energy of formation   -0.0215 eV per atom
Volume   126.7 Å³/f.u.
M_tot   0.0 μB/cell
Mass density   8.769 Mg/m³

=====

Dy12HoC7: relaxed, PBE.

```
Dy12HoC7
1.0
7.7630 -0.1722 -2.3666
-3.1489 7.0978 -2.3666
-0.1147 -0.1722 8.1149
Ho C Dy
1 7 12
direct
0.0000 0.0000 0.0000
0.3539 0.1154 0.0419
0.6461 0.8846 0.9581
0.8846 0.9581 0.6461
0.9581 0.6461 0.8846
0.0419 0.3539 0.1154
0.5000 0.5000 0.5000
0.1154 0.0419 0.3539
0.0697 0.6920 0.2135
0.9303 0.3080 0.7865
0.5575 0.8407 0.6259
0.3080 0.7865 0.9303
0.7865 0.9303 0.3080
0.3741 0.4425 0.1593
0.6920 0.2135 0.0697
0.1593 0.3741 0.4425
0.2135 0.0697 0.6920
0.8407 0.6259 0.5575
0.6259 0.5575 0.8407
0.4425 0.1593 0.3741
```

Calculated values
Energy of formation   -0.2389 eV per atom
Volume   436.3 Å³/f.u.
M_tot   0.0 μB/cell
Mass density   8.369 Mg/m³

=====

DyHo2C2: relaxed, PBE.

```
DyHo2C2
1.0
-3.7799 1.5415 2.9884
1.0683 -6.1621 0.2475
4.8218 3.2710 4.4117
Ho C Dy
4 4 2
direct
0.6621 0.3241 0.5668
0.0066 0.0133 0.7274
0.9934 0.9867 0.2726
0.3379 0.6759 0.4332
0.1667 0.3334 0.5851
0.8333 0.6666 0.4149
0.4975 0.9949 0.2368
0.5025 0.0051 0.7632
0.6560 0.3119 0.0963
0.3440 0.6881 0.9037
```

Calculated values
Energy of formation   -0.2284 eV per atom
Volume   99.8 Å³/f.u.
M_tot   1.5 μB/cell
Mass density   8.591 Mg/m³

=====

DyHo3C8: relaxed, PBE.

```
DyHo3C8
1.0
5.1296 0.0000 0.5651
-2.9023 5.1826 2.7887
-0.6750 0.0000 6.1425
C Dy Ho
8 1 3
direct
0.4166 0.0000 0.1887
0.1674 0.5014 0.9383
0.4167 0.0000 0.9777
0.6660 0.4986 0.4397
0.9168 0.0000 0.6886
0.1674 0.5014 0.7272
0.9166 0.0000 0.4779
0.6660 0.4986 0.2286
0.9167 0.0000 0.0832
0.1665 0.4996 0.3337
0.4167 0.0000 0.5832
0.6669 0.5004 0.8333
```

Calculated values
Energy of formation   -0.1900 eV per atom
Volume   165.3 Å³/f.u.
M_tot   0.0 μB/cell
Mass density   7.569 Mg/m³

=====

Dy2HoC: relaxed, PBE.

```
Dy2HoC
1.0
3.5272 0.0000 0.0000
1.7636 3.0547 0.0000
1.7636 1.0182 9.6135
C Dy Ho
1 2 1
direct
0.5000 0.5000 0.5000
0.1201 0.1201 0.6398
0.8799 0.8799 0.3602
0.0000 0.0000 0.0000
```

Calculated values
Energy of formation   -0.0651 eV per atom
Volume   103.6 Å³/f.u.
M_tot   0.3 μB/cell
Mass density   8.047 Mg/m³

=====

DyHoC: relaxed, PBE.

```
DyHoC
1.0
3.5619 0.0000 0.0000
-1.7810 3.0847 0.0000
0.0000 0.0000 6.2386
C Dy Ho
1 1 1
direct
0.6667 0.3333 0.3344
0.0000 0.0000 0.1164
0.3333 0.6667 0.5492
```

Calculated values
Energy of formation   -0.2697 eV per atom
Volume   68.5 Å³/f.u.
M_tot   0.0 μB/cell
Mass density   8.223 Mg/m³

=====

DyHo2C3: relaxed, PBE.

```
DyHo2C3
1.0
-3.8846 2.9338 2.9024
-6.4195 -2.5112 -0.5201
-2.2102 -3.1393 5.7486
C Dy Ho
6 2 4
direct
0.3789 0.0000 0.0000
0.8789 0.5000 0.5000
0.6211 0.0000 0.0000
0.0000 0.0000 0.5000
0.5000 0.0000 0.5000
0.1211 0.5000 0.5000
0.2500 0.2737 0.2263
0.7500 0.7263 0.7737
0.0729 0.0959 0.7582
0.4271 0.7418 0.4041
0.5729 0.2582 0.5959
0.9271 0.9041 0.2418
```

Calculated values
Energy of formation   -0.0741 eV per atom
Volume   108.2 Å³/f.u.
M_tot   0.0 μB/cell
Mass density   8.108 Mg/m³

=====

Dy3HoC8: relaxed, PBE.

```
Dy3HoC8
1.0
-1.5096 3.6593 4.9875
5.3929 -3.1639 0.7213
4.5068 3.6896 0.3217
C Dy Ho
8 3 1
direct
0.3928 0.0000 0.1492
0.0692 0.4409 0.7934
0.6045 0.6451 0.4086
0.9594 0.3549 0.0537
0.8841 0.0000 0.5985
0.0822 0.0000 0.6156
0.4294 0.0000 0.9226
0.6284 0.5591 0.2343
0.5218 0.0000 0.5030
0.2001 0.4939 0.3417
0.7062 0.5061 0.8356
0.0221 0.0000 0.0440
```

Calculated values
Energy of formation   0.0610 eV per atom
Volume   181.5 Å³/f.u.
M_tot   0.0 μB/cell
Mass density   6.850 Mg/m³

=====

Dy2HoC3: relaxed, PBE.

```
Dy2HoC3
1.0
5.0422 0.0000 2.6646
1.8659 6.1459 2.5721
-0.4221 0.2439 6.9016
C Ho Dy
6 2 4
direct
0.8798 0.5000 0.5000
0.0000 0.0000 0.5000
0.6202 0.0000 0.0000
0.1202 0.5000 0.5000
0.5000 0.0000 0.5000
0.3798 0.0000 0.0000
0.7500 0.7320 0.7680
0.2500 0.2680 0.2320
0.5710 0.2601 0.5979
0.4290 0.7399 0.4021
0.9290 0.9021 0.2399
0.0710 0.0979 0.7601
```

Calculated values
Energy of formation   -0.0627 eV per atom
Volume   109.4 Å³/f.u.
M_tot   0.0 μB/cell
Mass density   7.982 Mg/m³

=====

Dy2HoC2: relaxed, PBE.

```
Dy2HoC2
1.0
-3.1935 3.3223 2.1774
1.8900 -4.6035 3.8310
5.2165 5.1076 -0.1426
Dy C Ho
4 4 2
direct
0.0069 0.0138 0.7294
0.9931 0.9862 0.2706
0.3373 0.6745 0.4312
0.6627 0.3255 0.5688
0.1675 0.3350 0.5882
0.4981 0.9961 0.2366
0.8325 0.6650 0.4118
0.5019 0.0039 0.7634
0.3447 0.6894 0.9039
0.6553 0.3106 0.0961
```

Calculated values
Energy of formation   -0.2163 eV per atom
Volume   100.5 Å³/f.u.
M_tot   1.6 μB/cell
Mass density   8.492 Mg/m³

=====

DyHo2InC: relaxed, PBE.

```
DyHo2InC
1.0
-1.7473 -0.2697 -4.5953
-4.5514 -0.4140 1.7549
-0.4825 4.8706 -0.1024
Ho Dy In C
2 1 1 1
direct
0.0000 0.0000 0.5000
0.0000 0.5000 0.0000
0.5000 0.0000 0.0000
0.5000 0.5000 0.5000
0.0000 0.0000 0.0000
```

Calculated values
Energy of formation   -0.5154 eV per atom
Volume   118.0 Å³/f.u.
M_tot   0.0 μB/cell
Mass density   8.713 Mg/m³

=====

DyHo2MgC: relaxed, PBE.

```
DyHo2MgC
1.0
-1.7223 -4.0542 2.3519
4.6358 -1.3952 0.9897
-0.1464 2.5248 4.2450
Dy Mg Ho C
1 1 2 1
direct
0.5000 0.0000 0.0000
0.5000 0.5000 0.5000
0.0000 0.5000 0.0000
0.0000 0.0000 0.5000
0.0000 0.0000 0.0000
```

Calculated values
Energy of formation   -0.1920 eV per atom
Volume   121.9 Å³/f.u.
M_tot   0.7 μB/cell
Mass density   7.200 Mg/m³

=====

DyHoCO: relaxed, PBE.

```
DyHoCO
1.0
3.1481 0.0000 0.0000
0.0000 3.2455 0.0000
-1.5741 -1.6227 5.9777
Dy C O Ho
1 1 1 1
direct
0.8224 0.3224 0.6449
0.6686 0.6686 0.3373
0.4120 0.9120 0.8239
0.0761 0.0761 0.1522
```

Calculated values
Volume   61.1 Å³/f.u.
M_tot   0.0 μB/cell
Uncorrected formation energy   -1.238 eV per atom
Mass density   9.664 Mg/m³

=====

DyHo2PbC: relaxed, PBE.

```
DyHo2PbC
1.0
-4.1974 2.0671 -1.5222
-1.8906 -0.5404 4.4796
1.7148 4.4065 1.2553
Pb Ho Dy C
1 2 1 1
direct
0.5000 0.5000 0.5000
0.0000 0.5000 0.0000
0.0000 0.0000 0.5000
0.5000 0.0000 0.0000
0.0000 0.0000 0.0000
```

Calculated values
Energy of formation   -0.5486 eV per atom
Volume   117.8 Å³/f.u.
M_tot   0.0 μB/cell
Mass density   10.034 Mg/m³

=====

DyHo3Pb2C: relaxed, PBE.

```
DyHo3Pb2C
1.0
-4.4283 1.9014 -0.2298
-0.5768 -1.8738 -4.3883
-0.5307 -6.6856 5.5566
Pb C Ho Dy
2 1 3 1
direct
0.6427 0.6427 0.2854
0.3573 0.3573 0.7146
0.0000 0.0000 0.0000
0.8432 0.8432 0.6864
0.0000 0.5000 0.0000
0.1568 0.1568 0.3136
0.5000 0.0000 0.0000
```

Calculated values
Energy of formation   -0.5460 eV per atom
Volume   185.9 Å³/f.u.
M_tot   0.0 μB/cell
Mass density   9.681 Mg/m³

=====

Dy2HoPbC: relaxed, PBE.

```
Dy2HoPbC
1.0
-3.4557 -3.0455 -1.6483
2.7048 -0.8984 -4.0107
2.1941 -3.7443 2.3184
Dy Pb C Ho
2 1 1 1
direct
0.0000 0.5000 0.0000
0.0000 0.0000 0.5000
0.5000 0.5000 0.5000
0.0000 0.0000 0.0000
0.5000 0.0000 0.0000
```

Calculated values
Energy of formation   -0.5450 eV per atom
Volume   118.4 Å³/f.u.
M_tot   0.0 μB/cell
Mass density   9.943 Mg/m³

=====

DyHoCSe: relaxed, PBE.

```
DyHoCSe
1.0
3.7247 -0.0004 -0.0001
-1.8618 3.2259 -0.0003
-1.8619 -1.0754 6.7141
Se C Ho Dy
1 1 1 1
direct
0.9668 0.3815 0.3633
0.3053 0.5504 0.8712
0.1024 0.9492 0.0669
0.5034 0.1496 0.6682
```

Calculated values
Volume   80.7 Å³/f.u.
M_tot   0.0 μB/cell
Uncorrected formation energy   -1.110 eV per atom
Mass density   8.613 Mg/m³